(1)
This record from Alexandria describes BaZn2GaIr2 after structural relaxation. The functional is PBE.

* ΔH_f (0 K): -0.079 eV/atom
* N(E_F): 4.46 states/eV/cell
* space group: P4/mmm, No. 123

abc: 4.6850 4.6850 6.2079
angles: 90.00 90.00 90.00
With the nearest neighbours (Å) after each atom.
Element x y z (fractional)
Zn (0.5000, 0.5000, 0.2211)  4 Ir 2.72, 1 Zn 2.75
Ba (0.0000, 0.0000, 0.5000)  2 Ga 3.10
Ga (0.0000, 0.0000, 0.0000)  4 Ir 2.34
Ir (0.0000, 0.5000, 0.0000)  2 Ga 2.34
Ir (0.5000, 0.0000, 0.0000)  2 Ga 2.34
Zn (0.5000, 0.5000, 0.7789)  4 Ir 2.72, 1 Zn 2.75



(2)
This record from Alexandria describes BaZnGa2Ir after structural relaxation. The functional is PBE.

* ΔH_f (0 K): -0.483 eV/atom
* N(E_F): 3.44 states/eV/cell
* space group: P4/mmm, No. 123

abc: 4.8588 4.8588 4.9712
angles: 90.00 90.00 90.00
With the nearest neighbours (Å) after each atom.
Element x y z (fractional)
Ir (0.0000, 0.0000, 0.0000)  4 Ga 2.43, 2 Zn 2.49
Zn (0.0000, 0.0000, 0.5000)  2 Ir 2.49
Ga (0.5000, 0.0000, 0.0000)  2 Ir 2.43
Ba (0.5000, 0.5000, 0.5000)  4 Zn 3.44, 8 Ga 3.48
Ga (0.0000, 0.5000, 0.0000)  2 Ir 2.43



Please write out number 1 again, unchanged.
This record from Alexandria describes BaZn2GaIr2 after structural relaxation. The functional is PBE.

* ΔH_f (0 K): -0.079 eV/atom
* N(E_F): 4.46 states/eV/cell
* space group: P4/mmm, No. 123

abc: 4.6850 4.6850 6.2079
angles: 90.00 90.00 90.00
With the nearest neighbours (Å) after each atom.
Element x y z (fractional)
Zn (0.5000, 0.5000, 0.2211)  4 Ir 2.72, 1 Zn 2.75
Ba (0.0000, 0.0000, 0.5000)  2 Ga 3.10
Ga (0.0000, 0.0000, 0.0000)  4 Ir 2.34
Ir (0.0000, 0.5000, 0.0000)  2 Ga 2.34
Ir (0.5000, 0.0000, 0.0000)  2 Ga 2.34
Zn (0.5000, 0.5000, 0.7789)  4 Ir 2.72, 1 Zn 2.75